(1)
{
  "formula": "Li2MoOs",
  "functional": "PBE-GGA",
  "state": "relaxed",
  "polymorph_energy_mev_per_atom": 91.1,
  "space_group": "Cmm2, No. 35",
  "ef_ev_per_atom": 0.239,
  "lattice": [[2.959, 0.000, 0.000], [0.000, 4.462, 0.000], [0.000, 0.000, 9.473]],
  "species": ["Li", "Li", "Li", "Li", "Mo", "Mo", "Os", "Os"],
  "frac_coords": [[0.000, 0.000, 0.000], [0.000, 0.500, 0.280], [0.500, 0.000, 0.280], [0.500, 0.500, 0.000], [0.000, 0.500, 0.745], [0.500, 0.000, 0.745], [0.000, 0.000, 0.513], [0.500, 0.500, 0.513]]
}


(2)
{
  "formula": "NiB2Sb",
  "functional": "PBE-GGA",
  "state": "relaxed",
  "space_group": "I-42d, No. 122",
  "lattice": [[3.754, 0.000, 0.000], [0.000, 3.754, 0.000], [0.000, 0.000, 14.221]],
  "species": ["Ni", "Ni", "Ni", "Ni", "B", "B", "B", "B", "B", "B", "B", "B", "Sb", "Sb", "Sb", "Sb"],
  "frac_coords": [[0.000, 0.000, 0.000], [0.000, 0.500, 0.250], [0.500, 0.000, 0.750], [0.500, 0.500, 0.500], [0.034, 0.250, 0.125], [0.250, 0.534, 0.375], [0.250, 0.966, 0.875], [0.466, 0.250, 0.625], [0.534, 0.750, 0.625], [0.750, 0.034, 0.875], [0.750, 0.466, 0.375], [0.966, 0.750, 0.125], [0.000, 0.000, 0.500], [0.000, 0.500, 0.750], [0.500, 0.000, 0.250], [0.500, 0.500, 0.000]]
}


(3)
{
  "formula": "Ho3ScPd2",
  "functional": "PBE-GGA",
  "state": "relaxed",
  "space_group": "Immm, No. 71",
  "ef_ev_per_atom": -0.548,
  "lattice": [[4.005, 0.000, 0.000], [0.000, 4.854, 0.000], [0.000, 0.000, 14.879]],
  "species": ["Ho", "Ho", "Ho", "Ho", "Ho", "Ho", "Sc", "Sc", "Pd", "Pd", "Pd", "Pd"],
  "frac_coords": [[0.000, 0.000, 0.000], [0.000, 0.500, 0.317], [0.000, 0.500, 0.683], [0.500, 0.000, 0.183], [0.500, 0.000, 0.817], [0.500, 0.500, 0.500], [0.000, 0.000, 0.500], [0.500, 0.500, 0.000], [0.000, 0.500, 0.129], [0.000, 0.500, 0.871], [0.500, 0.000, 0.371], [0.500, 0.000, 0.629]]
}


(4)
{
  "formula": "TmSc2F",
  "functional": "PBE-GGA",
  "state": "relaxed",
  "space_group": "R-3m, No. 166",
  "lattice": [[3.429, 0.000, 0.000], [-1.715, 2.970, 0.000], [0.000, 0.000, 24.232]],
  "species": ["Tm", "Tm", "Tm", "Sc", "Sc", "Sc", "Sc", "Sc", "Sc", "F", "F", "F"],
  "frac_coords": [[0.000, 0.000, 0.000], [0.333, 0.667, 0.667], [0.667, 0.333, 0.333], [0.000, 0.000, 0.223], [0.000, 0.000, 0.777], [0.333, 0.667, 0.443], [0.333, 0.667, 0.890], [0.667, 0.333, 0.110], [0.667, 0.333, 0.557], [0.000, 0.000, 0.500], [0.333, 0.667, 0.167], [0.667, 0.333, 0.833]]
}


The records above yield calculated total energy values of -6.23, -5.42, -5.62, -5.83 eV per atom, respectively.
The records above yield M_tot values of 0.000, 0.000, 0.000, 0.000 μB per formula unit, respectively.